# 1
Compound: ZnRePt
Source: Alexandria via LeMat-Bulk
Functional: PBE-GGA
Structure: optimized geometry

Lattice parameters (Å, degrees): 2.716 3.940 8.279 90.00 90.00 90.00
Space group Imm2 (No. 44)
One atom of each set of equivalent atoms:
Zn 0.000 0.000 0.000 [2 per cell]
Re 0.000 0.000 0.335 [2 per cell]
Pt 0.000 0.000 0.666 [2 per cell]

Computed properties:
Spin magnetization: 0.000 μB per atom
ΔE to the lowest computed polymorph: 161 meV/atom
Total energy: -6.48 eV per atom
DFT formation energy: 103 meV per atom


# 2
Compound: Mo2PbAu
Source: Alexandria via LeMat-Bulk
Functional: PBE-GGA
Structure: optimized geometry

Lattice parameters (Å, degrees): 4.158 4.158 8.380 90.00 90.00 90.00
Space group I-4m2 (No. 119)
One atom of each set of equivalent atoms:
Mo 0.000 0.000 0.000 [2 per cell]
Mo 0.000 0.500 0.250 [2 per cell]
Pb 0.000 0.500 0.750 [2 per cell]
Au 0.000 0.000 0.500 [2 per cell]

Computed properties:
Spin magnetization: 0.000 μB per atom
Total energy: -6.59 eV per atom
DFT formation energy: 577 meV per atom


> Which formula does entry 2 have?

Mo2PbAu


> Which of these has the highest DFT formation energy?

Mo2PbAu


> The lowest DFT formation energy belongs to which entry?

ZnRePt


Please write out number 2 again, unchanged.
Compound: Mo2PbAu
Source: Alexandria via LeMat-Bulk
Functional: PBE-GGA
Structure: optimized geometry

Lattice parameters (Å, degrees): 4.158 4.158 8.380 90.00 90.00 90.00
Space group I-4m2 (No. 119)
One atom of each set of equivalent atoms:
Mo 0.000 0.000 0.000 [2 per cell]
Mo 0.000 0.500 0.250 [2 per cell]
Pb 0.000 0.500 0.750 [2 per cell]
Au 0.000 0.000 0.500 [2 per cell]

Computed properties:
Spin magnetization: 0.000 μB per atom
Total energy: -6.59 eV per atom
DFT formation energy: 577 meV per atom